Below is a relaxed Ce2PaTaN6 crystal, with properties calculated at the PBE level.

Calculated values
Magnetization: 0.00 Bohr magnetons per cell
Total energy: -9.6897 eV per atom
Formation energy (no corrections): -1373 meV per atom

a b c (Å): 5.7467 5.8961 10.0714
angles (deg): 90.00 124.45 90.00
Atoms (fractional coordinates):
Ce (0.2429, 0.0448, 0.2542)
Ce (0.2429, 0.4552, 0.7542)
Ce (0.7571, 0.5448, 0.2458)
Ce (0.7571, 0.9552, 0.7458)
Pa (0.5000, 0.0000, 0.0000)
Pa (0.5000, 0.5000, 0.5000)
Ta (0.0000, 0.0000, 0.5000)
Ta (0.0000, 0.5000, 0.0000)
N (0.1168, 0.2014, 0.9315)
N (0.1168, 0.2986, 0.4315)
N (0.2341, 0.6855, 0.9381)
N (0.2341, 0.8145, 0.4381)
N (0.3610, 0.0492, 0.7378)
N (0.3610, 0.4508, 0.2378)
N (0.6390, 0.5492, 0.7622)
N (0.6390, 0.9508, 0.2622)
N (0.7659, 0.1855, 0.5619)
N (0.7659, 0.3145, 0.0619)
N (0.8832, 0.7014, 0.5685)
N (0.8832, 0.7986, 0.0685)